# 1
First-principles (PBE) data for an optimized crystal structure of Pm2Y3N4, as listed in the Alexandria database.

The structure belongs to space group C2/m (No. 12); the cell edges are 11.7597, 3.5220 and 8.7494 Å and the angles 90.00°, 119.14° and 90.00°. The distinct sites, in fractional coordinates, are Pm at (0.1043, 0.0000, 0.3868), Y at (0.0000, 0.5000, 0.0000), Y at (0.2076, 0.5000, 0.8153), N at (0.1043, 0.0000, 0.9060) and N at (0.1985, 0.5000, 0.2949).

Its total magnetization is 0.00 Bohr magnetons per cell. As for the volume: 317 Å³/cell. Its electronic total energy is -0.6113 Ry/atom.

=====

# 2
First-principles (PBE) data for an optimized crystal structure of Ti4CoBi, as listed in the Alexandria database.

The structure belongs to space group C2/c (No. 15); the cell edges are 8.1465, 12.3206 and 6.2655 Å and the angles 90.00°, 130.21° and 90.00°. The distinct sites, in fractional coordinates, are Ti at (0.1864, 0.0149, 0.2609), Ti at (0.2460, 0.2228, 0.7136), Co at (0.0000, 0.1629, 0.2500) and Bi at (0.0000, 0.3834, 0.7500).

Its total magnetization is 3.71 Bohr magnetons per cell. As for the volume: 480 Å³/cell. The distance to the lowest polymorph of the same formula comes out at 268.9 meV per atom. Its electronic total energy is -0.5127 Ry/atom. As for the calculated formation energy: 0.119 eV/atom.